(1)
Material: LaSiPd
Method: DFT, PBE
State: optimized geometry

As for the crystal system: cubic. For the total energy, the calculation gives -5.107 eV/atom. Its calculated density is 5.72 Mg/m³.

Cell: 6.8204 6.8204 6.8204 Å, 90.00 90.00 90.00°
With the nearest neighbours (Å) after each atom.
Space group F-43m (No. 216)
Unique sites:
1 La 0.0000 0.0000 0.0000  4 Si 2.95, 4 Pd 2.95
2 Si 0.2500 0.2500 0.2500  4 La 2.95
3 Pd 0.2500 0.2500 0.7500  4 La 2.95

=====

(2)
Material: CsLiTcTe3
Method: DFT, PBE
State: optimized geometry

As for the crystal system: monoclinic. For the total energy, the calculation gives -4.239 eV/atom. Its calculated density is 5.56 Mg/m³.

Cell: 9.2726 4.0566 10.7450 Å, 90.00 113.45 90.00°
With the nearest neighbours (Å) after each atom.
Space group P2_1/m (No. 11)
Unique sites:
1 Cs 0.0187 0.2500 0.2791  8 Te 3.84-4.04, 2 Cs 4.06
2 Li 0.4666 0.7500 0.3846  4 Te 2.72-2.87
3 Tc 0.4680 0.2500 0.1678  6 Te 2.69-2.79
4 Te 0.2576 0.7500 0.1218  1 Li 2.72, 2 Tc 2.72
5 Te 0.3195 0.7500 0.5744  1 Tc 2.69, 3 Li 2.75-2.87
6 Te 0.3627 0.2500 0.8854  3 Tc 2.76-2.79

=====

(3)
Material: YScCoB
Method: DFT, PBE
State: optimized geometry

As for the crystal system: cubic. The offset from the most stable computed form is 9 meV per atom. For the total energy, the calculation gives -6.342 eV/atom. Its calculated density is 5.84 Mg/m³.

Cell: 6.1418 6.1418 6.1418 Å, 90.00 90.00 90.00°
With the nearest neighbours (Å) after each atom.
Space group F-43m (No. 216)
Unique sites:
1 Y 0.0000 0.0000 0.0000  4 Co 2.66, 4 Sc 2.66
2 Sc 0.2500 0.2500 0.2500  4 Y 2.66, 4 B 2.66
3 Co 0.2500 0.2500 0.7500  4 B 2.66, 4 Y 2.66
4 B 0.0000 0.0000 0.5000  4 Co 2.66, 4 Sc 2.66

=====

(4)
Material: NaReTe3Au
Method: DFT, PBE
State: optimized geometry

As for the crystal system: orthorhombic. For the total energy, the calculation gives -4.363 eV/atom. Its calculated density is 8.29 Mg/m³.

Cell: 3.9376 14.7246 10.8975 Å, 90.00 90.00 90.00°
With the nearest neighbours (Å) after each atom.
Space group Cmcm (No. 63)
Unique sites:
1 Na 0.0000 0.2488 0.2500  2 Au 3.05, 2 Te 3.35
2 Re 0.0000 0.5000 0.0000  6 Te 2.75-2.86
3 Te 0.0000 0.1303 0.5126  1 Au 2.64, 2 Re 2.75
4 Te 0.0000 0.4411 0.7500  2 Re 2.86, 2 Au 2.98
5 Au 0.0000 0.0931 0.7500  2 Te 2.64

=====

(5)
Material: Ho2Ga3Hg3
Method: DFT, PBE
State: optimized geometry

As for the crystal system: monoclinic. The offset from the most stable computed form is 0 meV per atom. For the total energy, the calculation gives -2.761 eV/atom. Its calculated density is 10.90 Mg/m³.

Cell: 6.3826 4.7970 6.4550 Å, 90.00 118.44 90.00°
With the nearest neighbours (Å) after each atom.
Space group Pm (No. 6)
Unique sites:
1 Ho 0.0000 0.0000 0.0000  6 Hg 3.07-3.38, 6 Ga 3.08-3.30
2 Ho 0.3326 0.5000 0.6809  6 Hg 3.08-3.30, 6 Ga 3.09-3.28
3 Ga 0.5148 0.0000 0.0268  6 Hg 2.98-3.32, 4 Ho 3.10-3.21, 1 Ga 3.11
4 Ga 0.8367 0.5000 0.6605  2 Ga 2.93, 4 Hg 3.00-3.23, 3 Ho 3.08-3.10
5 Ga 0.9849 0.0000 0.5039  3 Ga 2.93-3.11, 3 Hg 3.01-3.03, 3 Ho 3.09-3.16
6 Hg 0.3400 0.5000 0.1731  4 Ga 2.98-3.34, 4 Ho 3.07-3.30, 4 Hg 3.08-3.25
7 Hg 0.5146 0.0000 0.5129  6 Ga 3.00-3.35, 3 Ho 3.08-3.19, 2 Hg 3.08
8 Hg 0.8353 0.5000 0.1836  5 Ga 3.00-3.07, 4 Ho 3.07-3.30, 2 Hg 3.13-3.25

=====

(6)
Material: KCd2Bi2
Method: DFT, PBE
State: optimized geometry

As for the crystal system: tetragonal. For the total energy, the calculation gives -2.397 eV/atom. Its calculated density is 6.93 Mg/m³.

Cell: 4.7635 4.7635 14.3938 Å, 90.00 90.00 90.00°
With the nearest neighbours (Å) after each atom.
Space group I4/mmm (No. 139)
Unique sites:
1 K 0.0000 0.0000 0.0000  8 Bi 3.78
2 Cd 0.0000 0.5000 0.2500  4 Bi 3.04, 4 Cd 3.37
3 Bi 0.0000 0.0000 0.3816  4 Cd 3.04

=====

(7)
Material: LaNpBi
Method: DFT, PBE
State: optimized geometry

As for the crystal system: cubic. For the total energy, the calculation gives -6.774 eV/atom. Its calculated density is 8.86 Mg/m³.

Cell: 7.5975 7.5975 7.5975 Å, 90.00 90.00 90.00°
With the nearest neighbours (Å) after each atom.
Space group F-43m (No. 216)
Unique sites:
1 La 0.0000 0.0000 0.0000  4 Bi 3.29, 4 Np 3.29
2 Np 0.2500 0.2500 0.2500  4 La 3.29
3 Bi 0.2500 0.2500 0.7500  4 La 3.29

=====

(8)
Material: Sc4CuN3
Method: DFT, PBE
State: optimized geometry

As for the crystal system: hexagonal. For the total energy, the calculation gives -8.175 eV/atom. Its calculated density is 4.52 Mg/m³.

Cell: 3.1947 3.1947 23.7336 Å, 90.00 90.00 120.00°
With the nearest neighbours (Å) after each atom.
Space group P6_3/mmc (No. 194)
Unique sites:
1 Sc 0.0000 0.0000 0.1606  3 N 2.18
2 Sc 0.3333 0.6667 0.0534  6 N 2.24-2.30
3 Cu 0.3333 0.6667 0.2500  6 Sc 2.81
4 N 0.0000 0.0000 0.0000  6 Sc 2.24
5 N 0.3333 0.6667 0.6116  6 Sc 2.18-2.30

=====

(9)
Material: NpNi4Pt
Method: DFT, PBE
State: optimized geometry

As for the crystal system: cubic. For the total energy, the calculation gives -7.100 eV/atom. Its calculated density is 13.96 Mg/m³.

Cell: 6.8200 6.8200 6.8200 Å, 90.00 90.00 90.00°
With the nearest neighbours (Å) after each atom.
Space group F-43m (No. 216)
Unique sites:
1 Np 0.0000 0.0000 0.0000  12 Ni 2.83, 4 Pt 2.95
2 Ni 0.1250 0.1250 0.6250  6 Ni 2.41
3 Pt 0.2500 0.2500 0.2500  12 Ni 2.83, 4 Np 2.95

=====

(10)
Material: LuBeGaNi
Method: DFT, PBE
State: optimized geometry

As for the crystal system: cubic. The offset from the most stable computed form is 122 meV per atom. For the total energy, the calculation gives -4.383 eV/atom. Its calculated density is 8.62 Mg/m³.

Cell: 6.2207 6.2207 6.2207 Å, 90.00 90.00 90.00°
With the nearest neighbours (Å) after each atom.
Space group F-43m (No. 216)
Unique sites:
1 Lu 0.0000 0.0000 0.0000  4 Ga 2.69, 4 Ni 2.69
2 Be 0.0000 0.0000 0.5000  4 Ni 2.69, 4 Ga 2.69
3 Ga 0.2500 0.2500 0.2500  4 Be 2.69, 4 Lu 2.69
4 Ni 0.2500 0.2500 0.7500  4 Be 2.69, 4 Lu 2.69

=====

(11)
Material: Ho3AsSe2
Method: DFT, PBE
State: optimized geometry

As for the crystal system: trigonal. The offset from the most stable computed form is 12 meV per atom. For the total energy, the calculation gives -5.925 eV/atom. Its calculated density is 8.48 Mg/m³.

Cell: 4.0682 4.0682 9.9389 Å, 90.00 90.00 120.00°
With the nearest neighbours (Å) after each atom.
Space group P-3m1 (No. 164)
Unique sites:
1 Ho 0.0000 0.0000 0.0000  6 Se 2.87
2 Ho 0.3333 0.6667 0.3404  3 As 2.83, 3 Se 2.92
3 As 0.0000 0.0000 0.5000  6 Ho 2.83
4 Se 0.3333 0.6667 0.8339  6 Ho 2.87-2.92

=====

(12)
Material: TbHf2Cu4Si4
Method: DFT, PBE
State: optimized geometry

As for the crystal system: orthorhombic. For the total energy, the calculation gives -6.110 eV/atom. Its calculated density is 8.70 Mg/m³.

Cell: 3.9355 6.5124 13.1432 Å, 90.00 90.00 90.00°
With the nearest neighbours (Å) after each atom.
Space group Immm (No. 71)
Unique sites:
1 Tb 0.0000 0.0000 0.0000  6 Si 2.86-2.90
2 Hf 0.0000 0.5000 0.1238  6 Si 2.82-2.84, 6 Cu 2.87-2.97
3 Cu 0.0000 0.3070 0.3286  4 Si 2.39-2.45, 1 Cu 2.51
4 Si 0.0000 0.0000 0.2206  6 Cu 2.42-2.45
5 Si 0.0000 0.1821 0.5000  1 Si 2.37, 2 Cu 2.39